First-principles (GGA+U) data for a relaxed structure of Li2NpCrF8, as listed in Alexandria.

Values from the calculation:
The density of states at the Fermi level is 10.6 states/eV/cell. The value obtained for the total energy is -75.66 eV per cell. As for the size of the total moment: 7.00 Bohr magnetons per cell.

Unit cell a=4.783 b=4.752 c=7.078 alpha=91.63 beta=89.41 gamma=88.33
Each line ends with the local moment (μB).
Positions (direct):
F: 0.303 0.312 0.510  -0.03
F: 0.697 0.688 0.490  -0.03
Li: 0.488 0.501 0.806  0.00
F: 0.292 0.294 0.002  0.00
Np: 0.000 0.000 0.500  3.11
F: 0.805 0.196 0.242  -0.01
Li: 0.512 0.499 0.194  0.00
F: 0.780 0.214 0.737  -0.01
F: 0.195 0.804 0.758  -0.01
Cr: 0.000 0.000 0.000  3.79
F: 0.708 0.706 0.998  0.00
F: 0.220 0.786 0.263  -0.01